No. 1
# PBE Tc2RuW, optimized geometry
# Formation energy from the elements in meV/atom: 89
# Uncorrected energy in eV for the cell shown: -42.61
# Space-group type: I4/mmm, No. 139
# M_tot in μB/f.u.: 0.000
# Offset from the most stable computed form in meV/atom: 32
data_Tc2RuW
_cell_length_a 4.817
_cell_length_b 4.817
_cell_length_c 4.817
_cell_angle_alpha 132.60
_cell_angle_beta 132.60
_cell_angle_gamma 69.28
_space_group_name_H-M_alt 'P 1'
_space_group_IT_number 1
_space_group_name_Hall 'P 1'
loop_
_atom_site_label
_atom_site_type_symbol
_atom_site_fract_x
_atom_site_fract_y
_atom_site_fract_z
Ru1 Ru 0.750 0.250 0.500
W1 W 0.250 0.750 0.500
Tc1 Tc 0.000 0.000 0.000
Tc2 Tc 0.500 0.500 0.000



No. 2
# PBE TcRuW2, optimized geometry
# Formation energy from the elements in meV/atom: 124
# Uncorrected energy in eV for the cell shown: -45.05
# Space-group type: Cmmm, No. 65
# M_tot in μB/f.u.: 0.000
# Offset from the most stable computed form in meV/atom: 3
data_TcRuW2
_cell_length_a 4.780
_cell_length_b 4.780
_cell_length_c 2.804
_cell_angle_alpha 90.00
_cell_angle_beta 90.00
_cell_angle_gamma 107.53
_space_group_name_H-M_alt 'P 1'
_space_group_IT_number 1
_space_group_name_Hall 'P 1'
loop_
_atom_site_label
_atom_site_type_symbol
_atom_site_fract_x
_atom_site_fract_y
_atom_site_fract_z
Tc1 Tc 0.000 0.500 0.500
W1 W 0.500 0.500 0.000
W2 W 0.000 0.000 0.000
Ru1 Ru 0.500 0.000 0.500



No. 3
# PBE Tc2RuW, optimized geometry
# Formation energy from the elements in meV/atom: 77
# Uncorrected energy in eV for the cell shown: -42.65
# Space-group type: I-4m2, No. 119
# M_tot in μB/f.u.: 0.000
# Offset from the most stable computed form in meV/atom: 20
data_Tc2RuW
_cell_length_a 4.780
_cell_length_b 4.780
_cell_length_c 4.780
_cell_angle_alpha 131.83
_cell_angle_beta 131.83
_cell_angle_gamma 70.49
_space_group_name_H-M_alt 'P 1'
_space_group_IT_number 1
_space_group_name_Hall 'P 1'
loop_
_atom_site_label
_atom_site_type_symbol
_atom_site_fract_x
_atom_site_fract_y
_atom_site_fract_z
W1 W 0.500 0.500 0.000
Tc1 Tc 0.000 0.000 0.000
Tc2 Tc 0.250 0.750 0.500
Ru1 Ru 0.750 0.250 0.500



No. 4
# PBE Tc2Ru2W, optimized geometry
# Formation energy from the elements in meV/atom: 601
# Uncorrected energy in eV for the cell shown: -49.23
# Space-group type: I4/mmm, No. 139
# M_tot in μB/f.u.: 0.000
# Offset from the most stable computed form in meV/atom: 369
data_Tc2Ru2W
_cell_length_a 3.420
_cell_length_b 3.420
_cell_length_c 7.223
_cell_angle_alpha 76.30
_cell_angle_beta 76.30
_cell_angle_gamma 90.00
_space_group_name_H-M_alt 'P 1'
_space_group_IT_number 1
_space_group_name_Hall 'P 1'
loop_
_atom_site_label
_atom_site_type_symbol
_atom_site_fract_x
_atom_site_fract_y
_atom_site_fract_z
Ru1 Ru 0.594 0.594 0.812
Ru2 Ru 0.406 0.406 0.188
Tc1 Tc 0.250 0.750 0.500
Tc2 Tc 0.750 0.250 0.500
W1 W 0.000 0.000 0.000



No. 5
# PBE Tc2RuW, optimized geometry
# Formation energy from the elements in meV/atom: 1570
# Uncorrected energy in eV for the cell shown: -73.36
# Space-group type: I-42d, No. 122
# M_tot in μB/f.u.: 0.000
# Offset from the most stable computed form in meV/atom: 1513
data_Tc2RuW
_cell_length_a 5.518
_cell_length_b 5.518
_cell_length_c 6.973
_cell_angle_alpha 66.69
_cell_angle_beta 66.69
_cell_angle_gamma 90.00
_space_group_name_H-M_alt 'P 1'
_space_group_IT_number 1
_space_group_name_Hall 'P 1'
loop_
_atom_site_label
_atom_site_type_symbol
_atom_site_fract_x
_atom_site_fract_y
_atom_site_fract_z
W1 W 0.750 0.250 0.500
W2 W 0.000 0.000 0.000
Tc1 Tc 0.375 0.388 0.750
Tc2 Tc 0.138 0.625 0.250
Tc3 Tc 0.875 0.862 0.750
Tc4 Tc 0.612 0.125 0.250
Ru1 Ru 0.250 0.750 0.500
Ru2 Ru 0.500 0.500 0.000



No. 6
# PBE YTcRuW, optimized geometry
# Formation energy from the elements in meV/atom: 5
# Uncorrected energy in eV for the cell shown: -39.04
# Space-group type: F-43m, No. 216
# M_tot in μB/f.u.: 0.000
data_YTcRuW
_cell_length_a 4.587
_cell_length_b 4.587
_cell_length_c 4.587
_cell_angle_alpha 60.00
_cell_angle_beta 60.00
_cell_angle_gamma 60.00
_space_group_name_H-M_alt 'P 1'
_space_group_IT_number 1
_space_group_name_Hall 'P 1'
loop_
_atom_site_label
_atom_site_type_symbol
_atom_site_fract_x
_atom_site_fract_y
_atom_site_fract_z
Y1 Y 0.750 0.750 0.750
W1 W 0.250 0.250 0.250
Tc1 Tc 0.500 0.500 0.500
Ru1 Ru 0.000 0.000 0.000



No. 7
# PBE ZnTcRuW, optimized geometry
# Formation energy from the elements in meV/atom: -23
# Uncorrected energy in eV for the cell shown: -33.96
# Space-group type: F-43m, No. 216
# M_tot in μB/f.u.: 0.000
data_ZnTcRuW
_cell_length_a 4.358
_cell_length_b 4.358
_cell_length_c 4.358
_cell_angle_alpha 60.00
_cell_angle_beta 60.00
_cell_angle_gamma 60.00
_space_group_name_H-M_alt 'P 1'
_space_group_IT_number 1
_space_group_name_Hall 'P 1'
loop_
_atom_site_label
_atom_site_type_symbol
_atom_site_fract_x
_atom_site_fract_y
_atom_site_fract_z
Tc1 Tc 0.250 0.250 0.250
Zn1 Zn 0.500 0.500 0.500
W1 W 0.000 0.000 0.000
Ru1 Ru 0.750 0.750 0.750



No. 8
# PBE ZrTcRuW, optimized geometry
# Formation energy from the elements in meV/atom: -176
# Uncorrected energy in eV for the cell shown: -41.85
# Space-group type: F-43m, No. 216
# M_tot in μB/f.u.: 0.000
data_ZrTcRuW
_cell_length_a 4.524
_cell_length_b 4.524
_cell_length_c 4.524
_cell_angle_alpha 60.00
_cell_angle_beta 60.00
_cell_angle_gamma 60.00
_space_group_name_H-M_alt 'P 1'
_space_group_IT_number 1
_space_group_name_Hall 'P 1'
loop_
_atom_site_label
_atom_site_type_symbol
_atom_site_fract_x
_atom_site_fract_y
_atom_site_fract_z
Tc1 Tc 0.750 0.750 0.750
Ru1 Ru 0.250 0.250 0.250
W1 W 0.000 0.000 0.000
Zr1 Zr 0.500 0.500 0.500